Density functional theory data (PBE) for crystalline SrAc3Ge2 at its relaxed geometry.

a b c (Å): 9.419 9.419 9.783
angles (deg): 115.79 115.79 34.67
Fractional positions:
Sr 0.123 0.123 0.196
Sr 0.877 0.877 0.804
Ac 0.064 0.064 0.719
Ac 0.314 0.314 0.974
Ac 0.360 0.360 0.511
Ac 0.640 0.640 0.489
Ac 0.686 0.686 0.026
Ac 0.936 0.936 0.281
Ge 0.214 0.214 0.618
Ge 0.489 0.489 0.859
Ge 0.511 0.511 0.141
Ge 0.786 0.786 0.382

Results
Energy of formation from the pure elements   -0.3476 eV/atom
Total DFT energy (no corrections)   -4.22 eV per atom
Symmetry   C2/m, No. 12
Calculated volume   439.4 Å³ per cell



Density functional theory data (PBE) for crystalline Ho2InGa2 at its relaxed geometry.

a b c (Å): 7.190 7.190 4.414
angles (deg): 90.00 90.00 90.00
Fractional positions:
Ho 0.172 0.328 0.000
Ho 0.328 0.828 0.000
Ho 0.672 0.172 0.000
Ho 0.828 0.672 0.000
In 0.000 0.000 0.500
In 0.500 0.500 0.500
Ga 0.126 0.626 0.500
Ga 0.374 0.126 0.500
Ga 0.626 0.874 0.500
Ga 0.874 0.374 0.500

Results
Energy of formation from the pure elements   -0.6188 eV/atom
Total DFT energy (no corrections)   -4.21 eV per atom
Symmetry   P4/mbm, No. 127
Calculated volume   228.2 Å³ per cell



Density functional theory data (PBE) for crystalline NbSnHg at its relaxed geometry.

a b c (Å): 6.370 6.370 8.259
angles (deg): 90.00 90.00 126.45
Fractional positions:
Nb 0.101 0.899 0.925
Nb 0.399 0.601 0.425
Nb 0.601 0.399 0.575
Nb 0.899 0.101 0.075
Sn 0.164 0.836 0.584
Sn 0.336 0.664 0.084
Sn 0.664 0.336 0.916
Sn 0.836 0.164 0.416
Hg 0.153 0.347 0.750
Hg 0.347 0.153 0.250
Hg 0.653 0.847 0.750
Hg 0.847 0.653 0.250

Results
Energy of formation from the pure elements   0.2157 eV/atom
Total DFT energy (no corrections)   -4.58 eV per atom
Symmetry   Cmce, No. 64
Calculated volume   269.6 Å³ per cell



Density functional theory data (PBE) for crystalline NdThHgSb at its relaxed geometry.

a b c (Å): 7.702 7.702 7.702
angles (deg): 90.00 90.00 90.00
Fractional positions:
Nd 0.000 0.000 0.000
Nd 0.000 0.500 0.500
Nd 0.500 0.000 0.500
Nd 0.500 0.500 0.000
Th 0.000 0.000 0.500
Th 0.000 0.500 0.000
Th 0.500 0.000 0.000
Th 0.500 0.500 0.500
Hg 0.250 0.250 0.750
Hg 0.250 0.750 0.250
Hg 0.750 0.250 0.250
Hg 0.750 0.750 0.750
Sb 0.250 0.250 0.250
Sb 0.250 0.750 0.750
Sb 0.750 0.250 0.750
Sb 0.750 0.750 0.250

Results
Total DFT energy (no corrections)   -4.68 eV per atom
Symmetry   F-43m, No. 216
Formation energy without anion corrections   -2.1 eV/f.u.
Calculated volume   457.0 Å³ per cell



Density functional theory data (PBE) for crystalline MoPdPt4 at its relaxed geometry.

a b c (Å): 3.836 3.836 7.457
angles (deg): 90.00 90.00 90.00
Fractional positions:
Mo 0.000 0.000 0.000
Pd 0.500 0.500 0.500
Pt 0.000 0.500 0.237
Pt 0.000 0.500 0.763
Pt 0.500 0.000 0.237
Pt 0.500 0.000 0.763

Results
Energy of formation from the pure elements   0.0759 eV/atom
Energy relative to the lowest polymorph listed for this composition   278 meV per atom
Total DFT energy (no corrections)   -6.62 eV per atom
Symmetry   P4/mmm, No. 123
Calculated volume   109.7 Å³ per cell



Density functional theory data (PBE) for crystalline ThGaPb at its relaxed geometry.

a b c (Å): 4.464 4.464 8.268
angles (deg): 90.00 90.00 90.00
Fractional positions:
Th 0.250 0.250 0.167
Th 0.750 0.750 0.833
Ga 0.250 0.250 0.807
Ga 0.750 0.750 0.193
Pb 0.250 0.750 0.500
Pb 0.750 0.250 0.500

Results
Energy of formation from the pure elements   -0.2089 eV/atom
Energy relative to the lowest polymorph listed for this composition   0 meV per atom
Total DFT energy (no corrections)   -4.93 eV per atom
Symmetry   P4/nmm, No. 129
Calculated volume   164.8 Å³ per cell



Density functional theory data (PBE) for crystalline NaAgSe3 at its relaxed geometry.

a b c (Å): 5.160 5.160 5.160
angles (deg): 90.00 90.00 90.00
Fractional positions:
Na 0.000 0.000 0.000
Ag 0.500 0.500 0.500
Se 0.000 0.500 0.500
Se 0.500 0.000 0.500
Se 0.500 0.500 0.000

Results
Energy relative to the lowest polymorph listed for this composition   407 meV per atom
Total DFT energy (no corrections)   -2.82 eV per atom
Symmetry   Pm-3m, No. 221
Formation energy without anion corrections   0.5 eV/f.u.
Calculated volume   137.4 Å³ per cell



Density functional theory data (PBE) for crystalline AlRh5 at its relaxed geometry.

a b c (Å): 4.683 4.696 8.161
angles (deg): 90.42 106.58 99.34
Fractional positions:
Al 0.248 0.127 0.290
Al 0.752 0.873 0.710
Rh 0.247 0.621 0.457
Rh 0.249 0.631 0.127
Rh 0.250 0.125 0.624
Rh 0.252 0.130 0.957
Rh 0.252 0.628 0.790
Rh 0.748 0.372 0.210
Rh 0.748 0.870 0.043
Rh 0.750 0.875 0.376
Rh 0.751 0.369 0.873
Rh 0.753 0.379 0.543

Results
Energy of formation from the pure elements   -0.3019 eV/atom
Total DFT energy (no corrections)   -7.05 eV per atom
Symmetry   P-1, No. 2
Calculated volume   169.5 Å³ per cell



> Number 4 is which compound?

NdThHgSb



> The lowest calculated volume belongs to which entry?

MoPdPt4



> What is the total DFT energy (no corrections) in the fifth record?

-6.62 eV per atom



What did the seventh record say?
Density functional theory data (PBE) for crystalline NaAgSe3 at its relaxed geometry.

a b c (Å): 5.160 5.160 5.160
angles (deg): 90.00 90.00 90.00
Fractional positions:
Na 0.000 0.000 0.000
Ag 0.500 0.500 0.500
Se 0.000 0.500 0.500
Se 0.500 0.000 0.500
Se 0.500 0.500 0.000

Results
Energy relative to the lowest polymorph listed for this composition   407 meV per atom
Total DFT energy (no corrections)   -2.82 eV per atom
Symmetry   Pm-3m, No. 221
Formation energy without anion corrections   0.5 eV/f.u.
Calculated volume   137.4 Å³ per cell